Entry 1:
Compound: Pm6Dy2YEr
Source: Alexandria via LeMat-Bulk
Functional: GGA-PBE
Structure: optimized geometry

* calculated volume: 1345.4 Å³/cell
* uncorrected energy: -190.37 eV per cell

The structure in CIF format:
```
data_Pm6Dy2YEr
_chemical_formula_sum 'Pm24 Dy8 Y4 Er4'
_cell_length_a 9.187
_cell_length_b 15.330
_cell_length_c 9.632
_cell_angle_alpha 90.00
_cell_angle_beta 97.33
_cell_angle_gamma 90.00
_space_group_name_H-M_alt 'C 1 2/c 1'
_space_group_IT_number 15
_space_group_name_Hall '-C 2yc'
loop_
_atom_site_label
_atom_site_type_symbol
_atom_site_fract_x
_atom_site_fract_y
_atom_site_fract_z
_atom_site_occupancy
Pm1 Pm 0.059 0.181 0.446 1
Pm2 Pm 0.102 0.392 0.619 1
Pm3 Pm 0.211 0.224 0.813 1
Dy1 Dy 0.248 0.449 0.955 1
Y1 Y 0.000 0.025 0.750 1
Er1 Er 0.000 0.411 0.250 1
```

=====

Entry 2:
Compound: Mn2CrPt
Source: Alexandria via LeMat-Bulk
Functional: GGA-PBE
Structure: optimized geometry

* calculated volume: 55.5 Å³/cell
* uncorrected energy: -34.54 eV per cell

The structure in CIF format:
```
data_Mn2CrPt
_chemical_formula_sum 'Mn2 Cr1 Pt1'
_cell_length_a 2.856
_cell_length_b 3.451
_cell_length_c 5.628
_cell_angle_alpha 90.00
_cell_angle_beta 90.00
_cell_angle_gamma 90.00
_space_group_name_H-M_alt 'P m m m'
_space_group_IT_number 47
_space_group_name_Hall '-P 2 2'
loop_
_atom_site_label
_atom_site_type_symbol
_atom_site_fract_x
_atom_site_fract_y
_atom_site_fract_z
_atom_site_occupancy
Mn1 Mn 0.000 0.000 0.237 1
Cr1 Cr 0.500 0.500 0.000 1
Pt1 Pt 0.500 0.500 0.500 1
```

=====

Entry 3:
Compound: Rb6O2F3
Source: Alexandria via LeMat-Bulk
Functional: GGA-PBE
Structure: optimized geometry

* calculated volume: 874.3 Å³/cell
* uncorrected energy: -123.97 eV per cell

The structure in CIF format:
```
data_Rb6O2F3
_chemical_formula_sum 'Rb18 O6 F9'
_cell_length_a 4.1880
_cell_length_b 4.1880
_cell_length_c 57.5571
_cell_angle_alpha 90.00
_cell_angle_beta 90.00
_cell_angle_gamma 120.00
_space_group_name_H-M_alt 'R -3 m'
_space_group_IT_number 166
_space_group_name_Hall '-R 3 2"'
loop_
_atom_site_label
_atom_site_type_symbol
_atom_site_fract_x
_atom_site_fract_y
_atom_site_fract_z
_atom_site_occupancy
Rb1 Rb 0.0000 0.0000 0.0838 1
Rb2 Rb 0.0000 0.0000 0.1979 1
Rb3 Rb 0.0000 0.0000 0.3613 1
O1 O 0.0000 0.0000 0.4501 1
F1 F 0.0000 0.0000 0.0000 1
F2 F 0.0000 0.0000 0.2774 1
```

=====

Entry 4:
Compound: Er5Al
Source: Alexandria via LeMat-Bulk
Functional: GGA-PBE
Structure: optimized geometry

* calculated volume: 334.0 Å³/cell
* distance to the lowest polymorph of the same formula: 0.007 eV per atom

The structure in CIF format:
```
data_Er5Al
_chemical_formula_sum 'Er10 Al2'
_cell_length_a 4.763
_cell_length_b 14.690
_cell_length_c 4.773
_cell_angle_alpha 90.00
_cell_angle_beta 90.00
_cell_angle_gamma 90.00
_space_group_name_H-M_alt 'C m m m'
_space_group_IT_number 65
_space_group_name_Hall '-C 2 2'
loop_
_atom_site_label
_atom_site_type_symbol
_atom_site_fract_x
_atom_site_fract_y
_atom_site_fract_z
_atom_site_occupancy
Er1 Er 0.000 0.000 0.000 1
Er2 Er 0.000 0.160 0.500 1
Er3 Er 0.000 0.334 0.000 1
Al1 Al 0.000 0.500 0.500 1
```